--- i ---
Entry from the Alexandria database: crystalline BaYAs at its relaxed geometry (PBE-GGA).

calculated volume = 34.20 Å³/atom
spin magnetization = 0.0 μB per cell

Cell: 7.147 7.147 3.949 Å, 73.96 73.96 32.08°
Positions (direct):
Y1 0.609 0.609 0.391
As1 0.046 0.046 0.954
Ba1 0.345 0.345 0.655



--- ii ---
Entry from the Alexandria database: crystalline BaYAs at its relaxed geometry (PBE-GGA).

calculated volume = 35.13 Å³/atom
spin magnetization = 0.0 μB per cell

Cell: 4.887 4.887 5.096 Å, 90.00 90.00 120.00°
Positions (direct):
Y1 0.333 0.667 0.832
As1 0.000 0.000 0.836
Ba1 0.667 0.333 0.332



--- iii ---
Entry from the Alexandria database: crystalline BaYAs at its relaxed geometry (PBE-GGA).

calculated volume = 33.07 Å³/atom
spin magnetization = 0.0 μB per cell

Cell: 5.196 5.196 5.196 Å, 60.00 60.00 60.00°
Positions (direct):
Y1 0.500 0.500 0.500
As1 0.750 0.750 0.750
Ba1 0.000 0.000 0.000



Most stable of them? i.



--- i ---
Entry from the Alexandria database: crystalline BaY3As at its relaxed geometry (PBE-GGA).

calculated volume = 35.15 Å³/atom
spin magnetization = 0.0 μB per cell

Cell: 5.601 5.601 5.601 Å, 90.00 90.00 90.00°
Positions (direct):
Y1 0.000 0.500 0.000
Y2 0.000 0.000 0.500
Y3 0.500 0.000 0.000
As1 0.500 0.500 0.500
Ba1 0.000 0.000 0.000



--- ii ---
Entry from the Alexandria database: crystalline BaY3As at its relaxed geometry (PBE-GGA).

calculated volume = 35.86 Å³/atom
spin magnetization = 0.0 μB per cell

Cell: 5.639 5.639 5.639 Å, 90.00 90.00 90.00°
Positions (direct):
Y1 0.000 0.500 0.000
Y2 0.000 0.000 0.500
Y3 0.500 0.000 0.000
As1 0.000 0.000 0.000
Ba1 0.500 0.500 0.500



Most stable of them? ii.



--- i ---
Entry from the Alexandria database: crystalline BaY2As2 at its relaxed geometry (PBE-GGA).

calculated volume = 27.02 Å³/atom
spin magnetization = 0.0 μB per cell

Cell: 8.364 8.364 3.863 Å, 90.00 90.00 90.00°
Positions (direct):
Y1 0.147 0.647 0.500
Y2 0.647 0.853 0.500
Y3 0.853 0.353 0.500
Y4 0.353 0.147 0.500
As1 0.356 0.856 0.000
As2 0.856 0.644 0.000
As3 0.644 0.144 0.000
As4 0.144 0.356 0.000
Ba1 0.000 0.000 0.000
Ba2 0.500 0.500 0.000



--- ii ---
Entry from the Alexandria database: crystalline BaY2As2 at its relaxed geometry (PBE-GGA).

calculated volume = 31.15 Å³/atom
spin magnetization = 0.8 μB per cell

Cell: 4.717 4.717 7.753 Å, 72.29 72.29 90.00°
Positions (direct):
Y1 0.750 0.250 0.500
Y2 0.250 0.750 0.500
As1 0.371 0.371 0.258
As2 0.629 0.629 0.742
Ba1 0.000 0.000 0.000



Most stable of them? ii.



--- i ---
Entry from the Alexandria database: crystalline Ba2ZnAs at its relaxed geometry (PBE-GGA).

calculated volume = 33.15 Å³/atom
spin magnetization = 0.0 μB per cell

Cell: 5.724 5.724 5.724 Å, 60.00 60.00 60.00°
Positions (direct):
Zn1 0.000 0.000 0.000
As1 0.500 0.500 0.500
Ba1 0.250 0.250 0.250
Ba2 0.750 0.750 0.750



--- ii ---
Entry from the Alexandria database: crystalline Ba2ZnAs at its relaxed geometry (PBE-GGA).

calculated volume = 34.19 Å³/atom
spin magnetization = 0.0 μB per cell

Cell: 4.148 4.148 7.948 Å, 90.00 90.00 90.00°
Positions (direct):
As1 0.500 0.500 0.750
Ba1 0.000 0.000 0.969
Ba2 0.000 0.000 0.531
Zn1 0.500 0.500 0.250



Most stable of them? ii.



--- i ---
Entry from the Alexandria database: crystalline BaZrAs at its relaxed geometry (PBE-GGA).

calculated volume = 32.81 Å³/atom
spin magnetization = 0.0 μB per cell

Cell: 4.092 4.092 6.786 Å, 90.00 90.00 120.00°
Positions (direct):
As1 0.000 0.000 0.947
Ba1 0.667 0.333 0.285
Zr1 0.333 0.667 0.768



--- ii ---
Entry from the Alexandria database: crystalline BaZrAs at its relaxed geometry (PBE-GGA).

calculated volume = 32.94 Å³/atom
spin magnetization = 0.0 μB per cell

Cell: 4.318 4.318 10.601 Å, 90.00 90.00 90.00°
Positions (direct):
As1 0.500 0.000 0.673
As2 0.000 0.500 0.327
Ba1 0.500 0.000 0.192
Ba2 0.000 0.500 0.808
Zr1 0.500 0.500 0.500
Zr2 0.000 0.000 0.500



--- iii ---
Entry from the Alexandria database: crystalline BaZrAs at its relaxed geometry (PBE-GGA).

calculated volume = 31.18 Å³/atom
spin magnetization = 1.9 μB per cell

Cell: 5.096 5.096 5.096 Å, 60.00 60.00 60.00°
Positions (direct):
As1 0.750 0.750 0.750
Ba1 0.000 0.000 0.000
Zr1 0.500 0.500 0.500



--- iv ---
Entry from the Alexandria database: crystalline BaZrAs at its relaxed geometry (PBE-GGA).

calculated volume = 31.92 Å³/atom
spin magnetization = 1.5 μB per cell

Cell: 4.675 4.675 5.060 Å, 90.00 90.00 120.00°
Positions (direct):
As1 0.000 0.000 0.833
Ba1 0.667 0.333 0.333
Zr1 0.333 0.667 0.833



Most stable of them? ii.



--- i ---
Entry from the Alexandria database: crystalline BaZrAs3 at its relaxed geometry (PBE-GGA).

calculated volume = 29.20 Å³/atom
spin magnetization = 0.0 μB per cell

Cell: 5.266 5.266 5.266 Å, 90.00 90.00 90.00°
Positions (direct):
As1 0.000 0.500 0.000
As2 0.000 0.000 0.500
As3 0.500 0.000 0.000
Ba1 0.500 0.500 0.500
Zr1 0.000 0.000 0.000



--- ii ---
Entry from the Alexandria database: crystalline BaZrAs3 at its relaxed geometry (PBE-GGA).

calculated volume = 34.23 Å³/atom
spin magnetization = 1.1 μB per cell

Cell: 5.552 5.552 5.552 Å, 90.00 90.00 90.00°
Positions (direct):
As1 0.000 0.500 0.000
As2 0.000 0.000 0.500
As3 0.500 0.000 0.000
Ba1 0.000 0.000 0.000
Zr1 0.500 0.500 0.500



Most stable of them? i.



--- i ---
Entry from the Alexandria database: crystalline Be2As at its relaxed geometry (PBE-GGA).

calculated volume = 13.08 Å³/atom
spin magnetization = 0.0 μB per cell

Cell: 3.525 3.525 7.294 Å, 90.00 90.00 120.00°
Positions (direct):
Be1 0.667 0.333 0.401
Be2 0.333 0.667 0.901
Be3 0.333 0.667 0.599
Be4 0.667 0.333 0.099
As1 0.000 0.000 0.250
As2 0.000 0.000 0.750



--- ii ---
Entry from the Alexandria database: crystalline Be2As at its relaxed geometry (PBE-GGA).

calculated volume = 12.85 Å³/atom
spin magnetization = 0.0 μB per cell

Cell: 7.043 7.043 3.385 Å, 90.00 90.00 152.67°
Positions (direct):
Be1 0.368 0.632 0.250
Be2 0.632 0.368 0.750
Be3 0.748 0.252 0.250
Be4 0.252 0.748 0.750
As1 0.108 0.892 0.250
As2 0.892 0.108 0.750



Most stable of them? i.



--- i ---
Entry from the Alexandria database: crystalline Be2As at its relaxed geometry (PBE-GGA).

calculated volume = 12.18 Å³/atom
spin magnetization = 0.0 μB per cell

Cell: 4.058 4.058 4.058 Å, 131.65 131.63 70.80°
Positions (direct):
Be1 0.660 0.660 0.000
Be2 0.340 0.340 0.000
As1 0.000 0.000 0.000



--- ii ---
Entry from the Alexandria database: crystalline Be2As at its relaxed geometry (PBE-GGA).

calculated volume = 13.51 Å³/atom
spin magnetization = 0.0 μB per cell

Cell: 3.558 3.558 3.697 Å, 90.00 90.00 120.00°
Positions (direct):
Be1 0.667 0.333 0.712
Be2 0.333 0.667 0.288
As1 0.000 0.000 0.000



Most stable of them? i.